# 1
A plane-wave DFT calculation with PBE was carried out for a relaxed structure of CsFe3Ag.

a b c (Å): 4.827 4.827 4.827
angles (deg): 90.00 90.00 90.00
Space group Pm-3m (No. 221)
Symmetry-distinct sites (fractional):
Cs (0.000, 0.000, 0.000) [1 per cell]
Fe (0.000, 0.000, 0.500) [3 per cell]
Ag (0.500, 0.500, 0.500) [1 per cell]

Total magnetization, μB/f.u.: 7.52
Formation enthalpy at 0 K, eV/atom: 2.490
Density of states at the Fermi level, states/eV per atom: 1.21
ρ, g cm⁻³: 6.03

# 2
A plane-wave DFT calculation with PBE was carried out for a relaxed structure of CsFeAg3.

a b c (Å): 5.236 5.236 5.236
angles (deg): 90.00 90.00 90.00
Space group Pm-3m (No. 221)
Symmetry-distinct sites (fractional):
Cs (0.000, 0.000, 0.000) [1 per cell]
Fe (0.500, 0.500, 0.500) [1 per cell]
Ag (0.000, 0.500, 0.500) [3 per cell]

Total magnetization, μB/f.u.: 3.06
Formation enthalpy at 0 K, eV/atom: 0.602
Density of states at the Fermi level, states/eV per atom: 0.67
ρ, g cm⁻³: 5.93

# 3
A plane-wave DFT calculation with PBE was carried out for a relaxed structure of CsFe2AgI6.

a b c (Å): 15.685 15.501 8.007
angles (deg): 90.00 109.57 90.00
Space group C2/c (No. 15)
Symmetry-distinct sites (fractional):
Cs (0.000, 0.176, 0.250) [4 per cell]
Fe (0.225, 0.086, 0.802) [8 per cell]
Ag (0.000, 0.487, 0.750) [4 per cell]
I (0.097, 0.404, 0.080) [8 per cell]
I (0.157, 0.031, 0.049) [8 per cell]
I (0.164, 0.236, 0.702) [8 per cell]

Total magnetization, μB/f.u.: 8.00
Uncorrected formation energy, eV/atom: -0.396
Density of states at the Fermi level, states/eV per atom: 1.05
ρ, g cm⁻³: 4.03

# 4
A plane-wave DFT calculation with PBE was carried out for a relaxed structure of CsFe2AgI8.

a b c (Å): 7.4341 7.4341 10.6482
angles (deg): 90.00 90.00 120.00
Space group P-3 (No. 147)
Symmetry-distinct sites (fractional):
Cs (0.0000, 0.0000, 0.0000) [1 per cell]
Fe (0.3333, 0.6667, 0.7451) [2 per cell]
Ag (0.0000, 0.0000, 0.5000) [1 per cell]
I (0.0087, 0.3350, 0.6702) [6 per cell]
I (0.3333, 0.6667, 0.9850) [2 per cell]

Total magnetization, μB/f.u.: 10.02
Uncorrected formation energy, eV/atom: -0.427
ρ, g cm⁻³: 4.46

# 5
A plane-wave DFT calculation with PBE was carried out for a relaxed structure of Cs2FeAgN.

a b c (Å): 6.811 6.811 5.041
angles (deg): 90.00 90.00 90.00
Space group P4/mmm (No. 123)
Symmetry-distinct sites (fractional):
Cs (0.000, 0.500, 0.000) [2 per cell]
Fe (0.000, 0.000, 0.500) [1 per cell]
Ag (0.000, 0.000, 0.000) [1 per cell]
N (0.500, 0.500, 0.500) [1 per cell]

Total magnetization, μB/f.u.: 5.12
Uncorrected formation energy, eV/atom: 1.392
Density of states at the Fermi level, states/eV per atom: 1.23
ρ, g cm⁻³: 3.15

# 6
A plane-wave DFT calculation with PBE was carried out for a relaxed structure of CsFeAgRh2.

a b c (Å): 4.574 4.574 5.220
angles (deg): 90.00 90.00 90.00
Space group P4/mmm (No. 123)
Symmetry-distinct sites (fractional):
Cs (0.000, 0.000, 0.000) [1 per cell]
Fe (0.500, 0.500, 0.500) [1 per cell]
Ag (0.500, 0.500, 0.000) [1 per cell]
Rh (0.000, 0.500, 0.500) [2 per cell]

Total magnetization, μB/f.u.: 0.00
Formation enthalpy at 0 K, eV/atom: 0.897
Density of states at the Fermi level, states/eV per atom: 1.05
ρ, g cm⁻³: 7.64

# 7
A plane-wave DFT calculation with PBE was carried out for a relaxed structure of Cs2FeAgRu.

a b c (Å): 5.808 5.808 5.325
angles (deg): 90.00 90.00 90.00
Space group P4/mmm (No. 123)
Symmetry-distinct sites (fractional):
Cs (0.000, 0.500, 0.000) [2 per cell]
Fe (0.000, 0.000, 0.500) [1 per cell]
Ag (0.500, 0.500, 0.500) [1 per cell]
Ru (0.500, 0.500, 0.000) [1 per cell]

Total magnetization, μB/f.u.: 3.95
Formation enthalpy at 0 K, eV/atom: 1.503
Density of states at the Fermi level, states/eV per atom: 2.13
ρ, g cm⁻³: 4.90

# 8
A plane-wave DFT calculation with PBE was carried out for a relaxed structure of CsZn2FeAg.

a b c (Å): 5.000 5.000 5.295
angles (deg): 90.00 90.00 90.00
Space group P4/mmm (No. 123)
Symmetry-distinct sites (fractional):
Cs (0.000, 0.000, 0.000) [1 per cell]
Zn (0.000, 0.500, 0.500) [2 per cell]
Fe (0.500, 0.500, 0.500) [1 per cell]
Ag (0.500, 0.500, 0.000) [1 per cell]

Total magnetization, μB/f.u.: 2.45
Formation enthalpy at 0 K, eV/atom: 0.454
Density of states at the Fermi level, states/eV per atom: 0.99
ρ, g cm⁻³: 5.36

# 9
A plane-wave DFT calculation with PBE was carried out for a relaxed structure of Cs2ZnFeAg.

a b c (Å): 6.700 6.700 5.052
angles (deg): 90.00 90.00 90.00
Space group P4/mmm (No. 123)
Symmetry-distinct sites (fractional):
Cs (0.000, 0.500, 0.000) [2 per cell]
Zn (0.000, 0.000, 0.500) [1 per cell]
Fe (0.500, 0.500, 0.000) [1 per cell]
Ag (0.500, 0.500, 0.500) [1 per cell]

Total magnetization, μB/f.u.: 2.59
Formation enthalpy at 0 K, eV/atom: 0.735
Density of states at the Fermi level, states/eV per atom: 1.18
ρ, g cm⁻³: 3.62

# 10
A plane-wave DFT calculation with PBE was carried out for a relaxed structure of CsGaAg4.

a b c (Å): 11.992 7.686 7.090
angles (deg): 90.00 100.28 90.00
Space group C2/m (No. 12)
Symmetry-distinct sites (fractional):
Cs (0.202, 0.000, 0.382) [4 per cell]
Ga (0.001, 0.500, 0.815) [4 per cell]
Ag (0.000, 0.310, 0.500) [4 per cell]
Ag (0.091, 0.181, 0.873) [8 per cell]
Ag (0.202, 0.500, 0.073) [4 per cell]

Total magnetization, μB/f.u.: 0.00
Formation enthalpy at 0 K, eV/atom: 0.073
Density of states at the Fermi level, states/eV per atom: 0.45
ρ, g cm⁻³: 6.55

# 11
A plane-wave DFT calculation with PBE was carried out for a relaxed structure of Cs2Ga2Ag.

a b c (Å): 4.000 4.000 23.544
angles (deg): 90.00 90.00 90.00
Space group I4/mmm (No. 139)
Symmetry-distinct sites (fractional):
Cs (0.000, 0.000, 0.104) [4 per cell]
Ga (0.000, 0.500, 0.250) [4 per cell]
Ag (0.000, 0.000, 0.500) [2 per cell]

Total magnetization, μB/f.u.: 0.00
Formation enthalpy at 0 K, eV/atom: 0.098
Distance to the lowest polymorph of the same formula, eV/f.u.: 0.00
Density of states at the Fermi level, states/eV per atom: 0.29
ρ, g cm⁻³: 4.52

# 12
A plane-wave DFT calculation with PBE was carried out for a relaxed structure of Cs2GaAg4.

a b c (Å): 5.206 5.206 19.041
angles (deg): 90.00 90.00 90.00
Space group I4/mmm (No. 139)
Symmetry-distinct sites (fractional):
Cs (0.000, 0.000, 0.153) [4 per cell]
Ga (0.000, 0.000, 0.500) [2 per cell]
Ag (0.000, 0.000, 0.364) [4 per cell]
Ag (0.000, 0.500, 0.000) [4 per cell]

Total magnetization, μB/f.u.: 0.00
Formation enthalpy at 0 K, eV/atom: 0.163
Density of states at the Fermi level, states/eV per atom: 0.43
ρ, g cm⁻³: 4.94

# 13
A plane-wave DFT calculation with PBE was carried out for a relaxed structure of CsGaAg3.

a b c (Å): 7.032 7.091 7.200
angles (deg): 117.07 93.83 117.49
Space group P-1 (No. 2)
Symmetry-distinct sites (fractional):
Cs (0.056, 0.247, 0.298) [2 per cell]
Ga (0.362, 0.547, 0.908) [2 per cell]
Ag (0.101, 0.725, 0.211) [2 per cell]
Ag (0.447, 0.184, 0.636) [2 per cell]
Ag (0.487, 0.111, 0.211) [2 per cell]

Total magnetization, μB/f.u.: 0.00
Formation enthalpy at 0 K, eV/atom: 0.042
Distance to the lowest polymorph of the same formula, eV/f.u.: 0.00
Density of states at the Fermi level, states/eV per atom: 0.42
ρ, g cm⁻³: 6.58

# 14
A plane-wave DFT calculation with PBE was carried out for a relaxed structure of CsGa2Ag2.

a b c (Å): 4.964 4.964 10.995
angles (deg): 90.00 90.00 90.00
Space group I4/mmm (No. 139)
Symmetry-distinct sites (fractional):
Cs (0.000, 0.000, 0.000) [2 per cell]
Ga (0.000, 0.000, 0.352) [4 per cell]
Ag (0.000, 0.500, 0.250) [4 per cell]

Total magnetization, μB/f.u.: 0.00
Formation enthalpy at 0 K, eV/atom: 0.029
Distance to the lowest polymorph of the same formula, eV/f.u.: 0.00
Density of states at the Fermi level, states/eV per atom: 0.28
ρ, g cm⁻³: 5.98

# 15
A plane-wave DFT calculation with PBE was carried out for a relaxed structure of CsGaAg2.

a b c (Å): 4.7257 4.7257 20.0156
angles (deg): 90.00 90.00 120.00
Space group R-3m (No. 166, hexagonal axes)
Symmetry-distinct sites (fractional):
Cs (0.0000, 0.0000, 0.0000) [3 per cell]
Ga (0.0000, 0.0000, 0.5000) [3 per cell]
Ag (0.0000, 0.0000, 0.1806) [6 per cell]

Total magnetization, μB/f.u.: 0.00
Formation enthalpy at 0 K, eV/atom: -0.029
Distance to the lowest polymorph of the same formula, eV/f.u.: 0.00
Density of states at the Fermi level, states/eV per atom: 0.52
ρ, g cm⁻³: 5.38

# 16
A plane-wave DFT calculation with PBE was carried out for a relaxed structure of Cs2GaAg2.

a b c (Å): 10.427 10.427 3.880
angles (deg): 90.00 90.00 90.00
Space group P4/mbm (No. 127)
Symmetry-distinct sites (fractional):
Cs (0.142, 0.358, 0.000) [4 per cell]
Ga (0.000, 0.000, 0.000) [2 per cell]
Ag (0.160, 0.660, 0.500) [4 per cell]

Total magnetization, μB/f.u.: 0.00
Formation enthalpy at 0 K, eV/atom: 0.424
Distance to the lowest polymorph of the same formula, eV/f.u.: 2.23
Density of states at the Fermi level, states/eV per atom: 0.83
ρ, g cm⁻³: 4.34

# 17
A plane-wave DFT calculation with PBE was carried out for a relaxed structure of Cs3GaAg.

a b c (Å): 7.012 7.012 7.012
angles (deg): 90.00 90.00 90.00
Space group Pm-3m (No. 221)
Symmetry-distinct sites (fractional):
Cs (0.000, 0.000, 0.500) [3 per cell]
Ga (0.000, 0.000, 0.000) [1 per cell]
Ag (0.500, 0.500, 0.500) [1 per cell]

Total magnetization, μB/f.u.: 0.00
Formation enthalpy at 0 K, eV/atom: 0.289
Distance to the lowest polymorph of the same formula, eV/f.u.: 0.00
Density of states at the Fermi level, states/eV per atom: 0.79
ρ, g cm⁻³: 2.78

# 18
A plane-wave DFT calculation with PBE was carried out for a relaxed structure of CsGaAg2.

a b c (Å): 8.256 4.724 7.184
angles (deg): 90.00 111.99 90.00
Space group Cm (No. 8)
Symmetry-distinct sites (fractional):
Cs (0.000, 0.000, 0.000) [2 per cell]
Ga (0.185, 0.000, 0.543) [2 per cell]
Ag (0.011, 0.500, 0.521) [2 per cell]
Ag (0.325, 0.500, 0.463) [2 per cell]

Total magnetization, μB/f.u.: 0.00
Formation enthalpy at 0 K, eV/atom: -0.022
Distance to the lowest polymorph of the same formula, eV/f.u.: 0.03
Density of states at the Fermi level, states/eV per atom: 0.43
ρ, g cm⁻³: 5.35

# 19
A plane-wave DFT calculation with PBE was carried out for a relaxed structure of Cs2GaAg2.

a b c (Å): 4.7748 4.7748 34.2638
angles (deg): 90.00 90.00 120.00
Space group R-3m (No. 166, hexagonal axes)
Symmetry-distinct sites (fractional):
Cs (0.0000, 0.0000, 0.0745) [6 per cell]
Ga (0.0000, 0.0000, 0.5000) [3 per cell]
Ag (0.0000, 0.0000, 0.1766) [6 per cell]

Total magnetization, μB/f.u.: 0.00
Formation enthalpy at 0 K, eV/atom: -0.022
Distance to the lowest polymorph of the same formula, eV/f.u.: 0.00
Density of states at the Fermi level, states/eV per atom: 0.59
ρ, g cm⁻³: 4.06

# 20
A plane-wave DFT calculation with PBE was carried out for a relaxed structure of CsGa6Ag8.

a b c (Å): 8.4100 8.4100 15.3887
angles (deg): 90.00 90.00 120.00
Space group R-3 (No. 148, hexagonal axes)
Symmetry-distinct sites (fractional):
Cs (0.0000, 0.0000, 0.0000) [3 per cell]
Ga (0.0101, 0.8108, 0.3694) [18 per cell]
Ag (0.0000, 0.0000, 0.2210) [6 per cell]
Ag (0.9997, 0.3363, 0.8026) [18 per cell]

Total magnetization, μB/f.u.: 0.00
Formation enthalpy at 0 K, eV/atom: 0.066
Density of states at the Fermi level, states/eV per atom: 0.43
ρ, g cm⁻³: 7.47